Entry 1:
DFT (GGA-PBE) results for a geometry-optimized TlSi2Au structure.

Results
The calculation puts the magnetic moment at 0.0 μB/cell. For the energy relative to the elements, uncorrected, the calculation gives 0.565 eV/atom.

```
TlSi2Au
1.0
-0.619 4.818 0.549
-2.617 -1.345 -3.904
-2.769 -0.590 2.060
Au Si Tl
1 2 1
direct
0.000 0.500 0.500
0.000 0.000 0.000
0.500 0.500 0.000
0.500 0.000 0.500
```

---

Entry 2:
DFT (GGA-PBE) results for a geometry-optimized ScIn2F4 structure.

Results
The calculation puts the magnetic moment at 0.0 μB/cell. For the energy relative to the elements, uncorrected, the calculation gives -2.688 eV/atom.

```
ScIn2F4
1.0
4.163 0.000 0.000
0.000 4.163 0.000
2.082 2.082 8.834
Sc F In
1 4 2
direct
0.000 0.000 0.000
0.886 0.886 0.228
0.114 0.114 0.772
0.000 0.500 0.000
0.500 0.000 0.000
0.761 0.761 0.479
0.239 0.239 0.521
```

---

Entry 3:
DFT (GGA-PBE) results for a geometry-optimized CrFe2Ni8 structure.

Results
The energy of formation from the pure elements comes out at 0.163 eV per atom. The calculation puts the magnetic moment at 6.9 μB/cell.

```
CrFe2Ni8
1.0
-1.940 -3.111 -0.886
3.815 -3.279 3.167
-4.251 1.555 3.852
Cr Fe Ni
1 2 8
direct
0.500 0.000 0.000
0.000 0.622 0.378
0.000 0.378 0.622
0.000 0.963 0.699
0.000 0.699 0.963
0.500 0.669 0.669
0.500 0.247 0.753
0.500 0.753 0.247
0.500 0.331 0.331
0.000 0.301 0.037
0.000 0.037 0.301
```